Entry 1:
Density functional theory data (GGA-PBE) for an optimized crystal structure of TcRuIO2.

abc: 3.790 3.790 6.964
angles: 90.00 90.00 90.00
Space group P4/mmm (No. 123)
Inequivalent atoms, fractional coordinates:
1 Tc 0.000 0.000 0.000 (multiplicity 1)
2 Ru 0.500 0.500 0.500 (multiplicity 1)
3 I 0.500 0.500 0.000 (multiplicity 1)
4 O 0.000 0.500 0.500 (multiplicity 2)

Results
E_form (uncorrected)   0.3236 eV/atom
Raw total energy   -5.90 eV/atom
Polymorph energy (0 for the lowest one)   1.93 eV per formula unit
DOS(E_F)   5.81 states/eV/cell



Entry 2:
Density functional theory data (GGA-PBE) for an optimized crystal structure of TcRuI2O.

abc: 5.541 5.541 3.707
angles: 90.00 90.00 90.00
Space group P4/mmm (No. 123)
Inequivalent atoms, fractional coordinates:
1 Tc 0.000 0.000 0.000 (multiplicity 1)
2 Ru 0.500 0.500 0.500 (multiplicity 1)
3 I 0.000 0.500 0.000 (multiplicity 2)
4 O 0.000 0.000 0.500 (multiplicity 1)

Results
E_form (uncorrected)   0.4578 eV/atom
Raw total energy   -5.08 eV/atom
Polymorph energy (0 for the lowest one)   0.00 eV per formula unit
DOS(E_F)   4.68 states/eV/cell